one) The following is a SCAN calculation of a PBEsol-optimized structure of Tl2InAu2, from Alexandria.

```
Tl2InAu2
1.0
7.3623 0.0000 0.0000
0.0000 7.3623 0.0000
0.0000 0.0000 4.2962
Tl In Au
4 2 4
Cartesian
1.2191 2.4621 0.0000
2.4621 6.1433 0.0000
4.9002 1.2191 0.0000
6.1433 4.9002 0.0000
0.0000 0.0000 2.1481
3.6812 3.6812 2.1481
1.0083 4.6894 2.1481
2.6729 1.0083 2.1481
4.6894 6.3541 2.1481
6.3541 2.6729 2.1481
```

Summary:
The value obtained for the total moment is 0.00 μB per formula unit.

two) The following is a SCAN calculation of a PBEsol-optimized structure of Tl2InAu2, from Alexandria.

```
Tl2InAu2
1.0
-1.9062 1.9062 8.3893
1.9062 -1.9062 8.3893
1.9062 1.9062 -8.3893
Tl In Au
2 1 2
Cartesian
0.0000 0.0000 1.8582
0.0000 0.0000 14.9204
0.0000 0.0000 8.3893
1.9062 0.0000 4.1947
0.0000 1.9062 4.1947
```

Summary:
The value obtained for the total moment is 0.00 μB per formula unit.

Sorted by energy, starting with the most stable: one), two).

one) The following is a SCAN calculation of a PBEsol-optimized structure of In2WAu, from Alexandria.

```
In2WAu
1.0
3.4402 0.0000 0.0000
0.0000 3.4402 0.0000
0.0000 0.0000 6.2113
In W Au
2 1 1
Cartesian
0.0000 0.0000 1.4943
0.0000 0.0000 4.7170
1.7201 1.7201 0.0000
1.7201 1.7201 3.1056
```

Summary:
The value obtained for the total moment is 0.00 μB per formula unit.

two) The following is a SCAN calculation of a PBEsol-optimized structure of In2WAu, from Alexandria.

```
In2WAu
1.0
4.7781 -1.4645 0.0000
4.7781 1.4645 0.0000
-1.1383 0.0000 5.2700
In W Au
2 1 1
Cartesian
2.0890 0.0000 1.3469
6.3288 0.0000 3.9231
-0.5691 0.0000 2.6350
4.7781 0.0000 0.0000
```

Summary:
The value obtained for the total moment is 0.00 μB per formula unit.

three) The following is a SCAN calculation of a PBEsol-optimized structure of In2WAu, from Alexandria.

```
In2WAu
1.0
1.6365 -2.4594 0.0000
1.6365 2.4594 0.0000
0.0000 0.0000 9.2108
In W Au
2 1 1
Cartesian
0.0000 0.0000 2.2825
0.0000 0.0000 6.9283
1.6365 0.0000 0.0000
1.6365 0.0000 4.6054
```

Summary:
The value obtained for the total moment is 0.00 μB per formula unit.

four) The following is a SCAN calculation of a PBEsol-optimized structure of In2WAu, from Alexandria.

```
In2WAu
1.0
0.0000 3.3472 3.3472
3.3472 0.0000 3.3472
3.3472 3.3472 0.0000
In W Au
2 1 1
Cartesian
0.0000 0.0000 0.0000
1.6736 1.6736 1.6736
5.0208 5.0208 5.0208
3.3472 3.3472 3.3472
```

Summary:
The value obtained for the total moment is 2.06 μB per formula unit.

Sorted by energy, starting with the most stable: three), two), one), four).

one) The following is a SCAN calculation of a PBEsol-optimized structure of In2WAu, from Alexandria.

```
In2WAu
1.0
1.5045 0.8686 9.4099
-1.5045 0.8686 9.4099
0.0000 -1.7373 9.4099
In W Au
2 1 1
Cartesian
0.0000 0.0000 7.0666
0.0000 0.0000 21.1630
0.0000 0.0000 0.0000
0.0000 0.0000 14.1148
```

Summary:
The value obtained for the total moment is 0.00 μB per formula unit.

two) The following is a SCAN calculation of a PBEsol-optimized structure of In2WAu, from Alexandria.

```
In2WAu
1.0
-1.5065 2.5834 4.7733
1.5065 -2.5834 4.7733
1.5065 2.5834 -4.7733
In W Au
2 1 1
Cartesian
0.0000 0.0000 2.3442
0.0000 0.0000 7.2025
0.0000 2.5834 0.0000
1.5065 0.0000 0.0000
```

Summary:
The value obtained for the total moment is 0.00 μB per formula unit.

Sorted by energy, starting with the most stable: one), two).

one) The following is a SCAN calculation of a PBEsol-optimized structure of Zn2InAu2, from Alexandria.

```
Zn2InAu2
1.0
7.7862 0.0000 0.0000
0.0000 7.7862 0.0000
0.0000 0.0000 2.8791
Zn In Au
4 2 4
Cartesian
1.0098 2.8833 0.0000
2.8833 6.7764 0.0000
4.9029 1.0098 0.0000
6.7764 4.9029 0.0000
0.0000 0.0000 1.4396
3.8931 3.8931 1.4396
1.2922 5.1853 1.4396
2.6009 1.2922 1.4396
5.1853 6.4940 1.4396
6.4940 2.6009 1.4396
```

Summary:
The value obtained for the total moment is 0.00 μB per formula unit.

two) The following is a SCAN calculation of a PBEsol-optimized structure of Zn2InAu2, from Alexandria.

```
Zn2InAu2
1.0
-1.8460 1.8460 6.5486
1.8460 -1.8460 6.5486
1.8460 1.8460 -6.5486
Zn In Au
2 1 2
Cartesian
1.8460 0.0000 3.2743
0.0000 1.8460 3.2743
0.0000 0.0000 0.0000
0.0000 0.0000 5.1528
0.0000 0.0000 7.9443
```

Summary:
The value obtained for the total moment is 0.00 μB per formula unit.

Sorted by energy, starting with the most stable: two), one).

one) The following is a SCAN calculation of a PBEsol-optimized structure of Zr2InAu2, from Alexandria.

```
Zr2InAu2
1.0
7.5020 0.0000 0.0000
0.0000 7.5020 0.0000
0.0000 0.0000 7.0161
Zr In Au
8 4 8
Cartesian
1.0955 1.0955 0.0000
1.4798 1.4798 3.5080
2.2712 5.2308 0.0000
2.6555 4.8465 3.5080
4.8465 2.6555 3.5080
5.2308 2.2712 0.0000
6.0222 6.0222 3.5080
6.4065 6.4065 0.0000
0.0000 3.7510 1.7540
0.0000 3.7510 5.2620
3.7510 0.0000 1.7540
3.7510 0.0000 5.2620
0.9691 6.5328 2.0804
0.9691 6.5328 4.9357
2.7818 2.7818 1.4277
2.7818 2.7818 5.5884
4.7201 4.7201 1.4277
4.7201 4.7201 5.5884
6.5328 0.9691 2.0804
6.5328 0.9691 4.9357
```

Summary:
The value obtained for the total moment is 0.00 μB per formula unit.

two) The following is a SCAN calculation of a PBEsol-optimized structure of Zr2InAu2, from Alexandria.

```
Zr2InAu2
1.0
7.4777 0.0000 0.0000
0.0000 7.4777 0.0000
0.0000 0.0000 3.5817
Zr In Au
4 2 4
Cartesian
1.2870 2.4518 0.0000
2.4518 6.1907 0.0000
5.0259 1.2870 0.0000
6.1907 5.0259 0.0000
0.0000 0.0000 1.7909
3.7389 3.7389 1.7909
0.9597 4.6985 1.7909
2.7792 0.9597 1.7909
4.6985 6.5181 1.7909
6.5181 2.7792 1.7909
```

Summary:
The value obtained for the total moment is 0.00 μB per formula unit.

Sorted by energy, starting with the most stable: one), two).

one) The following is a SCAN calculation of a PBEsol-optimized structure of LaIrAu2, from Alexandria.

```
LaIrAu2
1.0
3.9574 0.0000 0.0000
0.0000 1.9618 5.3111
0.0000 -1.9618 5.3111
La Ir Au
1 1 2
Cartesian
0.0000 0.0000 0.0000
1.9787 0.0000 5.9004
0.0000 0.0000 7.7344
1.9787 0.0000 3.1268
```

Summary:
The value obtained for the total moment is 0.00 μB per formula unit.

two) The following is a SCAN calculation of a PBEsol-optimized structure of LaIrAu2, from Alexandria.

```
LaIrAu2
1.0
1.4699 0.8486 9.9467
-1.4699 0.8486 9.9467
0.0000 -1.6973 9.9467
La Ir Au
1 1 2
Cartesian
0.0000 0.0000 0.0000
0.0000 0.0000 14.9200
0.0000 0.0000 7.2014
0.0000 0.0000 22.6387
```

Summary:
The value obtained for the total moment is 0.00 μB per formula unit.

three) The following is a SCAN calculation of a PBEsol-optimized structure of LaIrAu2, from Alexandria.

```
LaIrAu2
1.0
0.0000 2.8792 5.0893
2.7794 0.0000 5.0893
2.7794 2.8792 0.0000
La Ir Au
1 1 2
Cartesian
0.0000 0.0000 0.0000
2.7794 2.8792 5.0893
2.7794 1.4396 2.5447
0.0000 1.4396 2.5447
```

Summary:
The value obtained for the total moment is 0.00 μB per formula unit.

four) The following is a SCAN calculation of a PBEsol-optimized structure of LaIrAu2, from Alexandria.

```
LaIrAu2
1.0
3.6601 0.0000 0.0000
0.0000 3.6601 0.0000
0.0000 0.0000 5.9363
La Ir Au
1 1 2
Cartesian
0.0000 0.0000 0.0000
1.8301 1.8301 4.4943
0.0000 0.0000 3.0556
1.8301 1.8301 1.7559
```

Summary:
The value obtained for the total moment is 0.00 μB per formula unit.

Sorted by energy, starting with the most stable: one), three), four), two).